Entry from the Open Quantum Materials Database: a relaxed structure of NaCo2As3O10 (PBE+U).

Cell lengths 6.7736, 7.7918, 8.6523 Å; angles 108.13, 108.12, 100.04 degrees
Closest atoms and distances in Å follow each position.
Fractional coordinates of all 32 atoms:
Na 0.2504 0.1981 0.0535  4 O 2.32-2.48
Na 0.7496 0.8019 0.9465  4 O 2.32-2.48
Co 0.0485 0.8499 0.3601  6 O 2.02-2.11
Co 0.3929 0.6688 0.5620  6 O 2.04-2.16
Co 0.6071 0.3312 0.4380  6 O 2.04-2.16
Co 0.9515 0.1501 0.6399  6 O 2.02-2.11
As 0.0436 0.2417 0.3284  4 O 1.70-1.80
As 0.2620 0.5693 0.8793  4 O 1.67-1.77
As 0.4835 0.1225 0.7093  4 O 1.69-1.78
As 0.5165 0.8775 0.2907  4 O 1.69-1.78
As 0.7380 0.4307 0.1207  4 O 1.67-1.77
As 0.9564 0.7583 0.6716  4 O 1.70-1.80
O 0.0180 0.0118 0.2173  1 As 1.70
O 0.0691 0.6949 0.5184  1 As 1.71
O 0.1087 0.7295 0.8691  2 As 1.76-1.80
O 0.1144 0.3749 0.8817  1 As 1.67
O 0.2220 0.1014 0.5821  1 As 1.72
O 0.2972 0.3866 0.3868  1 As 1.71
O 0.3420 0.7892 0.3726  1 As 1.71
O 0.4028 0.5591 0.7499  1 As 1.67
O 0.4796 0.0665 0.2415  1 As 1.69
O 0.4813 0.7006 0.0870  2 As 1.77-1.78
O 0.5187 0.2994 0.9130  2 As 1.77-1.78
O 0.5204 0.9335 0.7585  1 As 1.69
O 0.5972 0.4409 0.2501  1 As 1.67
O 0.6580 0.2108 0.6274  1 As 1.71
O 0.7028 0.6134 0.6132  1 As 1.71
O 0.7780 0.8986 0.4179  1 As 1.72
O 0.8856 0.6251 0.1183  1 As 1.67
O 0.8913 0.2705 0.1309  2 As 1.76-1.80
O 0.9309 0.3051 0.4816  1 As 1.71
O 0.9820 0.9882 0.7827  1 As 1.70

The calculation puts the density at 4.4 Mg/m³. The uncorrected energy is -5.95 eV/atom. The value obtained for the volume is 393.46 Å³/cell.